(1)
The following is a PBEsol calculation of a relaxed TiSeSN2 crystal, from Alexandria via LeMat-Bulk.

## Properties
Total energy (eV per atom): -5.780
ΔE_f (raw) (meV per atom): 942

```
TiSeSN2
1.0
3.636 0.000 0.000
0.000 3.636 0.000
0.000 0.000 4.660
Ti N Se S
1 2 1 1
Cartesian
1.818 1.818 2.330
0.000 1.818 0.000
1.818 0.000 0.000
0.000 0.000 2.330
0.000 0.000 0.000
```



(2)
The following is a PBEsol calculation of a relaxed WSe2Cl crystal, from Alexandria via LeMat-Bulk.

## Properties
Total energy (eV per atom): -5.040
ΔE_f (raw) (meV per atom): 839

```
WSe2Cl
1.0
-0.322 -1.841 2.512
0.994 -3.554 -2.477
4.666 0.588 1.028
Cl W Se
1 1 2
Cartesian
2.830 -1.483 -0.724
2.172 -0.627 1.770
0.000 0.000 0.000
0.336 -2.697 0.018
```



(3)
The following is a PBEsol calculation of a relaxed PSeF3 crystal, from Alexandria via LeMat-Bulk.

## Properties
Total energy (eV per atom): -3.754
ΔE_f (raw) (meV per atom): -669

```
PSeF3
1.0
-1.629 3.612 1.109
-2.615 -1.950 2.508
2.727 0.288 3.068
F Se P
3 1 1
Cartesian
0.056 -0.831 2.788
-2.122 0.831 1.809
0.549 1.950 2.088
0.000 0.000 0.000
-0.759 0.975 3.342
```



(4)
The following is a PBEsol calculation of a relaxed FeNiW2 crystal, from Alexandria via LeMat-Bulk.

## Properties
Total energy (eV per atom): -10.561

```
FeNiW2
1.0
3.099 0.000 0.000
0.000 3.099 0.000
0.000 0.000 5.448
Fe W Ni
1 2 1
Cartesian
0.000 0.000 2.776
1.550 1.549 1.494
0.000 0.000 5.288
1.550 1.549 4.062
```